A relaxed Ce3Sn2Ge crystal, computed with GGA-PBE. Values from VASP.

Geometry as Quantum ESPRESSO input:
```
&SYSTEM
  ibrav = 0, nat = 24, ntyp = 3
/
ATOMIC_SPECIES
Ce 140.12 Ce.upf
Sn 118.71 Sn.upf
Ge 72.64 Ge.upf
ATOMIC_POSITIONS angstrom
Ce 1.930 -2.155 3.871
Ce 7.699 5.718 11.133
Ce 6.101 -1.368 10.934
Ce 3.527 4.930 4.070
Ce 5.176 -2.608 7.145
Ce 4.453 6.170 7.859
Ce 0.758 1.562 5.122
Ce 8.871 2.001 9.882
Ce 4.501 0.805 5.823
Ce 5.128 2.758 9.181
Ce 4.276 -5.207 9.884
Ce 5.353 8.770 5.119
Sn 6.858 0.188 8.256
Sn 2.770 3.375 6.747
Sn 5.512 9.109 8.331
Sn 4.116 -5.546 6.673
Sn 7.356 -3.940 9.543
Sn 2.272 7.503 5.461
Sn 2.028 -1.179 6.899
Sn 7.601 4.742 8.105
Ge 0.827 0.424 2.290
Ge 8.802 3.139 12.714
Ge 4.062 -0.237 8.714
Ge 5.567 3.800 6.290
CELL_PARAMETERS angstrom
-3.061 0.603 3.119
6.112 -7.215 7.394
6.579 10.175 4.491
```

Computed properties:
SG: Pnma (62)
E above lowest polymorph: 0.061 eV per atom
Electronic total energy: -5.617 eV per atom
V: 28.511 A^3/atom
DFT formation energy: -0.546 eV/atom
Total magnetization: 0.58 μB per atom